(1)
Material: AcLaHg
Method: DFT, GGA-PBE
State: optimized geometry

Output
formation energy = -194.0 meV/atom
N(E_F) = 4.1 states/eV/cell
calculated total energy = -9.9 eV/cell

a = 5.4083 Å, b = 5.4083 Å, c = 4.0045 Å
α = 90.00°, β = 90.00°, γ = 120.00°
Space group P3m1 (No. 156)
Asymmetric unit:
Ac1 0.0000 0.0000 0.0000 (multiplicity 1)
La1 0.3333 0.6667 0.4136 (multiplicity 1)
Hg1 0.6667 0.3333 0.6453 (multiplicity 1)

***

(2)
Material: Ac6La2Hg
Method: DFT, GGA-PBE
State: optimized geometry

Output
formation energy = -91.4 meV/atom
N(E_F) = 13.7 states/eV/cell
calculated total energy = -35.6 eV/cell

a = 10.2972 Å, b = 10.2972 Å, c = 4.0235 Å
α = 90.00°, β = 90.00°, γ = 120.00°
Space group P-62m (No. 189)
Asymmetric unit:
Ac1 0.0000 0.3858 0.0000 (multiplicity 3)
Ac2 0.0000 0.7361 0.5000 (multiplicity 3)
La1 0.3333 0.6667 0.5000 (multiplicity 2)
Hg1 0.0000 0.0000 0.0000 (multiplicity 1)